(1)
An optimized crystal structure of RbTiIn. Source: Alexandria via LeMat-Bulk, functional PBE-GGA.

Cell and atoms, written as CIF:
```
data_RbTiIn
_cell_length_a 7.272
_cell_length_b 7.272
_cell_length_c 7.272
_cell_angle_alpha 90.00
_cell_angle_beta 90.00
_cell_angle_gamma 90.00
_space_group_name_H-M_alt 'F -4 3 m'
_space_group_IT_number 216
_space_group_name_Hall 'F -4 2 3'
loop_
_atom_site_label
_atom_site_type_symbol
_atom_site_fract_x
_atom_site_fract_y
_atom_site_fract_z
_atom_site_occupancy
Rb1 Rb 0.000 0.000 0.000 1
Ti1 Ti 0.250 0.250 0.750 1
In1 In 0.000 0.000 0.500 1
```

## Properties
Density   4.29 g/cm³
Raw total energy   -2.839 eV/atom
N(E_F)   0.126 states/eV/atom
E above lowest polymorph   926.9 meV/atom
ΔE_f   23.7 kcal/mol of atoms

***

(2)
An optimized crystal structure of RbTiIn. Source: Alexandria via LeMat-Bulk, functional PBE-GGA.

Cell and atoms, written as CIF:
```
data_RbTiIn
_cell_length_a 3.372
_cell_length_b 4.157
_cell_length_c 14.290
_cell_angle_alpha 90.00
_cell_angle_beta 94.14
_cell_angle_gamma 90.00
_space_group_name_H-M_alt 'P 1 m 1'
_space_group_IT_number 6
loop_
_space_group_symop_operation_xyz
'x,y,z'
'x,-y,z'
loop_
_atom_site_label
_atom_site_type_symbol
_atom_site_fract_x
_atom_site_fract_y
_atom_site_fract_z
_atom_site_occupancy
Rb1 Rb 0.000 0.000 0.000 1
Rb2 Rb 0.290 0.500 0.319 1
Ti1 Ti 0.381 0.500 0.612 1
Ti2 Ti 0.437 0.500 0.795 1
In1 In 0.847 0.000 0.503 1
In2 In 0.913 0.000 0.716 1
```

## Properties
Density   4.13 g/cm³
Raw total energy   -3.606 eV/atom
N(E_F)   1.000 states/eV/atom
E above lowest polymorph   159.7 meV/atom
ΔE_f   6.0 kcal/mol of atoms

***

(3)
An optimized crystal structure of RbTiIn. Source: Alexandria via LeMat-Bulk, functional PBE-GGA.

Cell and atoms, written as CIF:
```
data_RbTiIn
_cell_length_a 3.498
_cell_length_b 4.168
_cell_length_c 14.662
_cell_angle_alpha 97.34
_cell_angle_beta 95.18
_cell_angle_gamma 98.30
_space_group_name_H-M_alt 'P -1'
_space_group_IT_number 2
loop_
_space_group_symop_operation_xyz
'x,y,z'
'-x,-y,-z'
loop_
_atom_site_label
_atom_site_type_symbol
_atom_site_fract_x
_atom_site_fract_y
_atom_site_fract_z
_atom_site_occupancy
Rb1 Rb 0.159 0.173 0.342 1
Ti1 Ti 0.000 0.500 0.000 1
Ti2 Ti 0.500 0.000 0.000 1
In1 In 0.425 0.418 0.837 1
```

## Properties
Density   3.95 g/cm³
Raw total energy   -3.603 eV/atom
N(E_F)   0.959 states/eV/atom
E above lowest polymorph   163.4 meV/atom
ΔE_f   6.1 kcal/mol of atoms

***

(4)
An optimized crystal structure of RbTiIn. Source: Alexandria via LeMat-Bulk, functional PBE-GGA.

Cell and atoms, written as CIF:
```
data_RbTiIn
_cell_length_a 4.618
_cell_length_b 4.633
_cell_length_c 12.464
_cell_angle_alpha 89.71
_cell_angle_beta 89.79
_cell_angle_gamma 60.17
_space_group_name_H-M_alt 'P -1'
_space_group_IT_number 2
loop_
_space_group_symop_operation_xyz
'x,y,z'
'-x,-y,-z'
loop_
_atom_site_label
_atom_site_type_symbol
_atom_site_fract_x
_atom_site_fract_y
_atom_site_fract_z
_atom_site_occupancy
Rb1 Rb 0.172 0.163 0.178 1
Ti1 Ti 0.149 0.199 0.501 1
In1 In 0.498 0.502 0.616 1
```

## Properties
Density   3.56 g/cm³
Raw total energy   -3.709 eV/atom
N(E_F)   0.616 states/eV/atom
E above lowest polymorph   56.8 meV/atom
ΔE_f   3.6 kcal/mol of atoms

***

(5)
An optimized crystal structure of RbTiIn. Source: Alexandria via LeMat-Bulk, functional PBE-GGA.

Cell and atoms, written as CIF:
```
data_RbTiIn
_cell_length_a 3.736
_cell_length_b 4.323
_cell_length_c 13.241
_cell_angle_alpha 99.28
_cell_angle_beta 90.17
_cell_angle_gamma 90.00
_space_group_name_H-M_alt 'P -1'
_space_group_IT_number 2
loop_
_space_group_symop_operation_xyz
'x,y,z'
'-x,-y,-z'
loop_
_atom_site_label
_atom_site_type_symbol
_atom_site_fract_x
_atom_site_fract_y
_atom_site_fract_z
_atom_site_occupancy
Rb1 Rb 0.249 0.335 0.162 1
Ti1 Ti 0.249 0.464 0.425 1
In1 In 0.251 0.051 0.605 1
```

## Properties
Density   3.90 g/cm³
Raw total energy   -3.721 eV/atom
N(E_F)   0.692 states/eV/atom
E above lowest polymorph   44.9 meV/atom
ΔE_f   3.4 kcal/mol of atoms

***

(6)
An optimized crystal structure of RbTiIn. Source: Alexandria via LeMat-Bulk, functional PBE-GGA.

Cell and atoms, written as CIF:
```
data_RbTiIn
_cell_length_a 3.187
_cell_length_b 7.477
_cell_length_c 9.338
_cell_angle_alpha 89.33
_cell_angle_beta 89.84
_cell_angle_gamma 77.71
_space_group_name_H-M_alt 'P 1'
_space_group_IT_number 1
loop_
_space_group_symop_operation_xyz
'x,y,z'
loop_
_atom_site_label
_atom_site_type_symbol
_atom_site_fract_x
_atom_site_fract_y
_atom_site_fract_z
_atom_site_occupancy
Rb1 Rb 0.000 0.000 0.000 1
Rb2 Rb 0.236 0.503 0.695 1
Ti1 Ti 0.243 0.495 0.327 1
Ti2 Ti 0.741 0.504 0.103 1
In1 In 0.583 0.817 0.361 1
In2 In 0.903 0.175 0.371 1
```

## Properties
Density   3.79 g/cm³
Raw total energy   -3.423 eV/atom
N(E_F)   0.655 states/eV/atom
E above lowest polymorph   342.9 meV/atom
ΔE_f   10.2 kcal/mol of atoms

***

(7)
An optimized crystal structure of RbTiIn. Source: Alexandria via LeMat-Bulk, functional PBE-GGA.

Cell and atoms, written as CIF:
```
data_RbTiIn
_cell_length_a 5.5050
_cell_length_b 5.5050
_cell_length_c 3.2847
_cell_angle_alpha 90.00
_cell_angle_beta 90.00
_cell_angle_gamma 120.00
_space_group_name_H-M_alt 'P -6 m 2'
_space_group_IT_number 187
_space_group_name_Hall 'P -6 2'
loop_
_atom_site_label
_atom_site_type_symbol
_atom_site_fract_x
_atom_site_fract_y
_atom_site_fract_z
_atom_site_occupancy
Rb1 Rb 0.0000 0.0000 0.0000 1
Ti1 Ti 0.6667 0.3333 0.5000 1
In1 In 0.3333 0.6667 0.5000 1
```

## Properties
Density   4.78 g/cm³
Raw total energy   -3.067 eV/atom
N(E_F)   1.133 states/eV/atom
E above lowest polymorph   699.5 meV/atom
ΔE_f   18.5 kcal/mol of atoms

***

(8)
An optimized crystal structure of RbTiIn. Source: Alexandria via LeMat-Bulk, functional PBE-GGA.

Cell and atoms, written as CIF:
```
data_RbTiIn
_cell_length_a 5.5877
_cell_length_b 5.5877
_cell_length_c 6.2215
_cell_angle_alpha 90.00
_cell_angle_beta 90.00
_cell_angle_gamma 120.00
_space_group_name_H-M_alt 'P 63/m m c'
_space_group_IT_number 194
_space_group_name_Hall '-P 6c 2c'
loop_
_atom_site_label
_atom_site_type_symbol
_atom_site_fract_x
_atom_site_fract_y
_atom_site_fract_z
_atom_site_occupancy
Rb1 Rb 0.0000 0.0000 0.0000 1
Ti1 Ti 0.3333 0.6667 0.2500 1
In1 In 0.3333 0.6667 0.7500 1
```

## Properties
Density   4.90 g/cm³
Raw total energy   -3.129 eV/atom
N(E_F)   1.027 states/eV/atom
E above lowest polymorph   637.3 meV/atom
ΔE_f   17.0 kcal/mol of atoms

***

(9)
An optimized crystal structure of RbTiIn2. Source: Alexandria via LeMat-Bulk, functional PBE-GGA.

Cell and atoms, written as CIF:
```
data_RbTiIn2
_cell_length_a 7.641
_cell_length_b 7.641
_cell_length_c 7.641
_cell_angle_alpha 90.00
_cell_angle_beta 90.00
_cell_angle_gamma 90.00
_space_group_name_H-M_alt 'F m -3 m'
_space_group_IT_number 225
_space_group_name_Hall '-F 4 2 3'
loop_
_atom_site_label
_atom_site_type_symbol
_atom_site_fract_x
_atom_site_fract_y
_atom_site_fract_z
_atom_site_occupancy
Rb1 Rb 0.000 0.000 0.000 1
Ti1 Ti 0.000 0.000 0.500 1
In1 In 0.250 0.250 0.250 1
```

## Properties
Density   5.40 g/cm³
Raw total energy   -3.031 eV/atom
N(E_F)   2.365 states/eV/atom
E above lowest polymorph   28.1 meV/atom
ΔE_f   12.8 kcal/mol of atoms

***

(10)
An optimized crystal structure of RbTiIn. Source: Alexandria via LeMat-Bulk, functional PBE-GGA.

Cell and atoms, written as CIF:
```
data_RbTiIn
_cell_length_a 5.001
_cell_length_b 5.300
_cell_length_c 7.810
_cell_angle_alpha 90.00
_cell_angle_beta 90.00
_cell_angle_gamma 90.00
_space_group_name_H-M_alt 'P m m 2'
_space_group_IT_number 25
loop_
_space_group_symop_operation_xyz
'x,y,z'
'-x,-y,z'
'-x,y,z'
'x,-y,z'
loop_
_atom_site_label
_atom_site_type_symbol
_atom_site_fract_x
_atom_site_fract_y
_atom_site_fract_z
_atom_site_occupancy
Rb1 Rb 0.000 0.000 0.000 1
Rb2 Rb 0.500 0.500 0.236 1
Ti1 Ti 0.000 0.297 0.586 1
In1 In 0.500 0.000 0.575 1
In2 In 0.500 0.500 0.737 1
```

## Properties
Density   3.98 g/cm³
Raw total energy   -3.534 eV/atom
N(E_F)   0.760 states/eV/atom
E above lowest polymorph   231.8 meV/atom
ΔE_f   7.7 kcal/mol of atoms